MgBiH (PBE, relaxed); ΔE to the lowest computed polymorph = 182 meV per atom; spin magnetization = 0.000 μB/atom; space group = I4mm, No. 107
1.0
-1.578 1.578 6.069
1.578 -1.578 6.069
1.578 1.578 -6.069
Mg Bi H
1 1 1
Direct
0.000 0.000 0.000 Mg
0.248 0.248 0.000 Bi
0.503 0.503 0.000 H